1.
First-principles (PBE) data for Rb2CaBr6F after structural relaxation, as listed in Alexandria.

Cell lengths 8.2217, 8.2217, 8.2217 Å; angles 125.11, 125.11, 81.36 degrees
Positions (direct):
Rb (0.2500, 0.7500, 0.5000)
Rb (0.7500, 0.2500, 0.5000)
Ca (0.0000, 0.0000, 0.0000)
Br (0.2260, 0.2260, 0.0000)
Br (0.2673, 0.2673, 0.5346)
Br (0.2673, 0.7327, 0.0000)
Br (0.7327, 0.2673, 0.0000)
Br (0.7327, 0.7327, 0.4654)
Br (0.7740, 0.7740, 0.0000)
F (0.5000, 0.5000, 0.0000)

Summary:
symmetry	I4/mmm (139)
final energy	-2.706	eV per atom
uncorrected formation energy	-25.9	kcal/mol of atoms

2.
First-principles (PBE) data for Be2MoRu after structural relaxation, as listed in Alexandria.

Cell lengths 4.0293, 4.0293, 2.9050 Å; angles 90.10, 90.10, 99.98 degrees
Positions (direct):
Be (0.0000, 0.5000, 0.0000)
Be (0.5000, 0.0000, 0.0000)
Mo (0.0000, 0.0000, 0.5000)
Ru (0.5000, 0.5000, 0.5000)

Summary:
symmetry	C2/m (12)
final energy	-6.872	eV per atom
energy relative to the elements	0.018	eV/atom
E above lowest polymorph	210	meV per atom